Below is a relaxed structure of LaNd2Er, with properties calculated at the PBE level.

Values from the calculation:
The calculation puts the total DFT energy (no corrections) at -4.74 eV/atom. The total magnetic moment is 0.002 μB per cell. For the formation energy, the calculation gives 0.021 eV/atom. For the offset from the most stable computed form, the calculation gives 4 meV/atom.

Unit cell a=12.170 b=3.665 c=6.285 alpha=90.00 beta=99.99 gamma=90.00
Space group C2/m (No. 12)
One atom of each set of equivalent atoms:
La: 0.000 0.000 0.000 [2 per cell]
Nd: 0.248 0.000 0.748 [4 per cell]
Er: 0.000 0.500 0.500 [2 per cell]